# YZn4Ir (meta-GGA SCAN, PBEsol geometry)
data_YZn4Ir
_chemical_formula_sum 'Y4 Zn16 Ir4'
_cell_length_a 7.111
_cell_length_b 7.111
_cell_length_c 7.111
_cell_angle_alpha 90.00
_cell_angle_beta 90.00
_cell_angle_gamma 90.00
_space_group_name_H-M_alt 'F -4 3 m'
_space_group_IT_number 216
_space_group_name_Hall 'F -4 2 3'
loop_
_atom_site_label
_atom_site_type_symbol
_atom_site_fract_x
_atom_site_fract_y
_atom_site_fract_z
Y1 Y 0.000 0.000 0.000
Zn1 Zn 0.124 0.124 0.624
Ir1 Ir 0.250 0.250 0.250
# DFT formation energy = -0.525 eV/atom
# Total magnetic moment = 0.0 μB per formula unit